(1)
PmPr6Nd3Ho2 | PBE-GGA | optimized geometry

Geometry as POSCAR:
```
PmPr6Nd3Ho2
1.0
3.1843 -5.5178 0.0000
3.1843 5.5178 0.0000
-2.1284 0.0000 11.9253
Pm Pr Nd Ho
1 6 3 2
Cartesian
0.0000 0.0000 0.0000 Pm
1.0668 1.8438 2.9427 Pr
-0.0041 0.0000 8.9827 Pr
1.0668 -1.8438 2.9427 Pr
3.1733 1.8438 8.9826 Pr
4.2442 0.0000 2.9426 Pr
3.1733 -1.8438 8.9826 Pr
2.1200 3.6760 5.9626 Nd
2.1200 0.0000 5.9626 Nd
2.1200 -3.6760 5.9626 Nd
3.1843 1.8381 0.0000 Ho
3.1843 -1.8381 0.0000 Ho
```

Summary:
As for the symmetry: C2/m. As for the magnetic moment: 0.000 μB per cell. As for the density: 6.95 Mg/m³. The calculation puts the calculated formation energy at 0.01 eV per atom. As for the density of states at the Fermi level: 17.01 states/eV per cell.

---

(2)
Pm2Pr3NdHo6 | PBE-GGA | optimized geometry

Geometry as POSCAR:
```
Pm2Pr3NdHo6
1.0
3.1329 -5.4256 0.0000
3.1329 5.4256 0.0000
-2.0819 0.0000 11.6411
Pm Pr Nd Ho
2 3 1 6
Cartesian
3.1329 3.6175 0.0000 Pm
3.1329 -3.6175 0.0000 Pm
-1.0410 0.0000 5.8205 Pr
2.0919 1.8090 5.8205 Pr
2.0919 -1.8090 5.8205 Pr
3.1329 0.0000 0.0000 Nd
0.0045 1.8092 8.7464 Ho
1.0453 0.0000 2.8953 Ho
0.0045 -1.8092 8.7464 Ho
4.1794 1.8092 2.8947 Ho
3.1386 0.0000 8.7458 Ho
4.1794 -1.8092 2.8947 Ho
```

Summary:
As for the symmetry: C2/m. As for the magnetic moment: 0.000 μB per cell. As for the density: 7.75 Mg/m³. The calculation puts the calculated formation energy at 0.01 eV per atom. As for the density of states at the Fermi level: 13.08 states/eV per cell.

---

(3)
Pm2Pr2Nd4Ho | PBE-GGA | optimized geometry

Geometry as POSCAR:
```
Pm2Pr2Nd4Ho
1.0
9.5777 -1.8478 0.0000
9.5777 1.8478 0.0000
-4.2419 0.0000 8.8793
Pm Pr Nd Ho
2 2 4 1
Cartesian
2.1215 0.0000 1.4830 Pm
12.7921 0.0000 7.3963 Pm
4.2909 0.0000 4.4476 Pr
10.6226 0.0000 4.4316 Pr
0.0133 0.0000 7.3920 Nd
8.5129 0.0000 1.5075 Nd
6.4006 0.0000 7.3717 Nd
14.9003 0.0000 1.4873 Nd
-2.1210 0.0000 4.4396 Ho
```

Summary:
As for the symmetry: C2/m. As for the magnetic moment: 0.000 μB per cell. As for the density: 6.94 Mg/m³. The calculation puts the calculated formation energy at 0.01 eV per atom. As for the density of states at the Fermi level: 11.74 states/eV per cell.